Entry 1:
Material: CrPBr2
Method: DFT, SCAN
State: PBEsol geometry

Cell and atoms, written as POSCAR:
```
CrPBr2
1.0
3.469 0.000 0.000
0.000 3.469 0.000
0.000 0.000 7.543
Cr P Br
1 1 2
Direct
0.000 0.000 0.000
0.500 0.500 0.968
0.000 0.000 0.305
0.500 0.500 0.669
```

E_form (uncorrected)	-0.373	eV/atom
mass density	4.44	g/cm³
N(E_F)	0.338	states/eV per cell
calculated total energy	-17.30	eV per atom

Entry 2:
Material: ScFeAg4
Method: DFT, SCAN
State: PBEsol geometry

Cell and atoms, written as POSCAR:
```
ScFeAg4
1.0
0.000 3.751 3.751
3.751 0.000 3.751
3.751 3.751 0.000
Sc Fe Ag
1 1 4
Direct
0.000 0.000 0.000
0.250 0.250 0.250
0.126 0.625 0.625
0.625 0.126 0.625
0.625 0.625 0.126
0.625 0.625 0.625
```

formation energy	22	kJ/mol of atoms
mass density	8.38	g/cm³
N(E_F)	9.937	states/eV per cell
calculated total energy	-26.08	eV per atom

Entry 3:
Material: KW3C
Method: DFT, SCAN
State: PBEsol geometry

Cell and atoms, written as POSCAR:
```
KW3C
1.0
4.415 0.000 0.000
0.000 4.415 0.000
0.000 0.000 4.415
K W C
1 3 1
Direct
0.000 0.000 0.000
0.000 0.000 0.500
0.000 0.500 0.000
0.500 0.000 0.000
0.500 0.500 0.500
```

formation energy	508	kJ/mol of atoms
mass density	11.63	g/cm³
N(E_F)	3.417	states/eV per cell
calculated total energy	-40.23	eV per atom

Entry 4:
Material: NaSnPS2
Method: DFT, SCAN
State: PBEsol geometry

Cell and atoms, written as POSCAR:
```
NaSnPS2
1.0
5.080 0.000 0.000
0.000 5.080 0.000
0.000 0.000 4.983
Na Sn P S
1 1 1 2
Direct
0.000 0.000 0.000
0.500 0.500 0.500
0.500 0.500 0.000
0.000 0.500 0.500
0.500 0.000 0.500
```

E_form (uncorrected)	0.150	eV/atom
mass density	3.06	g/cm³
N(E_F)	2.244	states/eV per cell
calculated total energy	-13.81	eV per atom

Entry 5:
Material: KMgPb2
Method: DFT, SCAN
State: PBEsol geometry

Cell and atoms, written as POSCAR:
```
KMgPb2
1.0
3.665 0.000 0.000
0.000 3.960 0.000
0.000 0.000 8.234
K Mg Pb
1 1 2
Direct
0.000 0.000 0.000
0.000 0.000 0.500
0.500 0.500 0.303
0.500 0.500 0.697
```

formation energy	-29	kJ/mol of atoms
mass density	6.64	g/cm³
N(E_F)	1.299	states/eV per cell
calculated total energy	-41.51	eV per atom

Entry 6:
Material: La2SeBr
Method: DFT, SCAN
State: PBEsol geometry

Cell and atoms, written as POSCAR:
```
La2SeBr
1.0
0.000 3.670 3.670
3.670 0.000 3.670
3.670 3.670 0.000
La Se Br
2 1 1
Direct
0.250 0.250 0.250
0.750 0.750 0.750
0.000 0.000 0.000
0.500 0.500 0.500
```

E_form (uncorrected)	-1.687	eV/atom
mass density	7.34	g/cm³
N(E_F)	1.989	states/eV per cell
calculated total energy	-33.12	eV per atom

Entry 7:
Material: LaBe2Zn
Method: DFT, SCAN
State: PBEsol geometry

Cell and atoms, written as POSCAR:
```
LaBe2Zn
1.0
2.971 0.000 0.000
0.000 2.971 0.000
0.000 0.000 6.997
La Be Zn
1 2 1
Direct
0.000 0.000 0.000
0.500 0.500 0.324
0.500 0.500 0.676
0.000 0.000 0.500
```

formation energy	20	kJ/mol of atoms
mass density	5.98	g/cm³
N(E_F)	2.208	states/eV per cell
calculated total energy	-16.13	eV per atom

Entry 8:
Material: YInIr2
Method: DFT, SCAN
State: PBEsol geometry

Cell and atoms, written as POSCAR:
```
YInIr2
1.0
3.360 0.000 0.000
0.000 3.360 0.000
0.000 0.000 6.335
Y In Ir
1 1 2
Direct
0.000 0.000 0.000
0.000 0.000 0.500
0.500 0.500 0.265
0.500 0.500 0.735
```

formation energy	-51	kJ/mol of atoms
mass density	13.65	g/cm³
N(E_F)	1.361	states/eV per cell
calculated total energy	-51.38	eV per atom